1.
BaMnMo2Ru, relaxed, DFT GGA-PBE; formation energy = 3.464 eV/atom; VASP energy = -4.9425 eV/atom; total magnetization = 2.2 μB/f.u.; crystal system = tetragonal; V = 118.7 Å³ per cell
1.0
4.954 0.000 0.000
0.000 4.835 0.000
0.000 0.000 4.954
Ba Ru Mo Mn
1 1 2 1
direct
0.000 0.000 0.000
0.000 0.500 0.000
0.000 0.000 0.500
0.500 0.000 0.000
0.500 0.500 0.500

***

2.
NaPmSi2S6, relaxed, DFT GGA-PBE; VASP energy = -5.2296 eV/atom; total magnetization = 0.0 μB/f.u.; crystal system = monoclinic; V = 478.4 Å³ per cell; formation energy without anion corrections = -1.062 eV per atom
1.0
6.593 -0.101 -0.105
1.980 8.486 0.264
1.980 -0.051 8.490
S Si Pm Na
12 4 2 2
direct
0.136 0.593 0.116
0.172 0.963 0.805
0.364 0.884 0.407
0.510 0.407 0.314
0.636 0.116 0.593
0.672 0.805 0.963
0.864 0.407 0.884
0.328 0.195 0.037
0.490 0.593 0.686
0.990 0.686 0.593
0.010 0.314 0.407
0.828 0.037 0.195
0.751 0.208 0.370
0.749 0.630 0.792
0.251 0.370 0.208
0.249 0.792 0.630
0.250 0.876 0.124
0.750 0.124 0.876
0.750 0.662 0.338
0.250 0.338 0.662

***

3.
Sr4YMn, relaxed, DFT GGA-PBE; formation energy = 0.770 eV/atom; VASP energy = -2.9565 eV/atom; total magnetization = 6.3 μB/f.u.; crystal system = cubic; V = 266.7 Å³ per cell
1.0
0.000 5.109 5.109
5.109 0.000 5.109
5.109 5.109 0.000
Sr Y Mn
4 1 1
direct
0.375 0.375 0.375
0.375 0.375 0.874
0.375 0.874 0.375
0.874 0.375 0.375
0.750 0.750 0.750
0.000 0.000 0.000

***

4.
Tb3Er2Pd3, relaxed, DFT GGA-PBE; formation energy = -0.632 eV/atom; VASP energy = -5.4568 eV/atom; total magnetization = 0.0 μB/f.u.; crystal system = orthorhombic; V = 192.7 Å³ per cell
1.0
3.540 0.000 0.000
0.000 5.171 0.000
-1.770 -2.585 10.527
Pd Er Tb
3 2 3
direct
0.000 0.500 0.000
0.116 0.116 0.232
0.884 0.884 0.768
0.274 0.774 0.548
0.726 0.226 0.452
0.500 0.000 0.000
0.383 0.383 0.767
0.617 0.617 0.233

***

5.
CdTc2Ag, relaxed, DFT GGA-PBE; formation energy = 0.419 eV/atom; VASP energy = -5.7051 eV/atom; total magnetization = 0.0 μB/f.u.; crystal system = monoclinic; V = 66.6 Å³ per cell
1.0
4.752 0.003 -0.013
3.942 2.654 -0.013
0.535 0.164 5.281
Tc Ag Cd
2 1 1
direct
0.753 0.753 0.786
0.998 0.998 0.960
0.499 0.499 0.488
0.249 0.249 0.266

***

6.
Pu3Ga2Ge4, relaxed, DFT GGA-PBE; formation energy = -0.361 eV/atom; VASP energy = -7.8631 eV/atom; total magnetization = 5.7 μB/f.u.; crystal system = monoclinic; V = 193.1 Å³ per cell
1.0
4.229 0.000 0.000
-2.115 5.465 -0.970
0.000 -0.249 8.397
Ge Ga Pu
4 2 3
direct
0.914 0.829 0.582
0.086 0.171 0.418
0.261 0.521 0.923
0.739 0.479 0.077
0.414 0.829 0.745
0.586 0.171 0.255
0.336 0.671 0.326
0.000 0.000 0.000
0.664 0.329 0.674

***

7.
Sc2NiHgC, relaxed, DFT GGA-PBE; formation energy = -0.421 eV/atom; VASP energy = -6.0145 eV/atom; total magnetization = 0.0 μB/f.u.; crystal system = tetragonal; V = 80.5 Å³ per cell
1.0
4.609 0.000 0.000
0.000 4.609 0.000
0.000 0.000 3.791
Hg C Sc Ni
1 1 2 1
direct
0.500 0.500 0.500
0.000 0.000 0.000
0.000 0.500 0.000
0.500 0.000 0.000
0.000 0.000 0.500

***

8.
CaPmS2O8, relaxed, DFT GGA-PBE; VASP energy = -6.5458 eV/atom; total magnetization = 0.4 μB/f.u.; crystal system = trigonal; V = 178.2 Å³ per cell; formation energy without anion corrections = -1.990 eV per atom
1.0
-2.019 -3.992 2.640
2.616 -0.856 -4.405
6.476 -0.649 3.971
O S Ca Pm
8 2 1 1
direct
0.176 0.353 0.743
0.177 0.824 0.743
0.824 0.647 0.257
0.823 0.176 0.257
0.667 0.333 0.999
0.647 0.823 0.743
0.333 0.667 0.001
0.353 0.177 0.257
0.667 0.333 0.192
0.333 0.667 0.808
0.000 0.000 0.000
0.000 0.000 0.500

***

9.
K4AcTb3O8, relaxed, DFT GGA-PBE; VASP energy = -6.5545 eV/atom; total magnetization = 0.0 μB/f.u.; crystal system = trigonal; V = 282.4 Å³ per cell; formation energy without anion corrections = -2.676 eV per atom
1.0
-2.155 -3.737 5.765
6.969 0.384 2.854
-3.335 6.131 -1.768
O K Tb Ac
8 4 3 1
direct
0.712 0.688 0.950
0.729 0.687 0.458
0.238 0.688 0.476
0.271 0.313 0.542
0.238 0.688 0.950
0.762 0.312 0.524
0.762 0.312 0.050
0.288 0.312 0.050
0.500 0.000 0.500
0.500 0.000 0.000
0.000 0.000 0.500
0.000 0.000 0.000
0.500 0.500 0.000
0.000 0.500 0.500
0.500 0.500 0.500
0.000 0.500 0.000

***

10.
CaTlCoCl6, relaxed, DFT GGA-PBE; VASP energy = -3.7537 eV/atom; total magnetization = 0.2 μB/f.u.; crystal system = trigonal; V = 261.8 Å³ per cell; formation energy without anion corrections = -1.248 eV per atom
1.0
-5.243 -3.980 0.964
-0.963 -5.252 -3.967
3.718 -3.874 4.226
Cl Co Tl Ca
6 1 1 1
direct
0.607 0.341 0.697
0.052 0.607 0.697
0.052 0.341 0.303
0.341 0.607 0.303
0.607 0.052 0.303
0.341 0.052 0.697
0.333 0.333 0.500
0.000 0.000 0.000
0.667 0.667 0.500

***

11.
ThBHPt6, relaxed, DFT GGA-PBE; VASP energy = -6.4609 eV/atom; total magnetization = 0.0 μB/f.u.; crystal system = orthorhombic; V = 295.0 Å³ per cell
1.0
-1.392 -3.284 6.116
6.985 -3.436 -0.254
-0.676 7.471 -0.240
Pt Th B H
12 2 2 2
direct
0.593 0.343 0.185
0.604 0.344 0.748
0.604 0.904 0.748
0.144 0.904 0.748
0.201 0.951 0.401
0.396 0.096 0.252
0.799 0.049 0.599
0.856 0.096 0.252
0.407 0.657 0.815
0.856 0.656 0.252
0.396 0.656 0.252
0.144 0.344 0.748
0.907 0.657 0.815
0.093 0.343 0.185
0.500 0.000 0.000
0.500 0.500 0.000
0.500 0.000 0.500
0.000 0.000 0.500

***

12.
KSBrCl2, relaxed, DFT GGA-PBE; VASP energy = -2.4226 eV/atom; total magnetization = 0.3 μB/f.u.; crystal system = tetragonal; V = 146.3 Å³ per cell; formation energy without anion corrections = -0.304 eV per atom
1.0
5.461 0.000 0.000
0.000 5.461 0.000
0.000 0.000 4.906
Br K Cl S
1 1 2 1
direct
0.000 0.000 0.000
0.500 0.500 0.500
0.000 0.500 0.000
0.500 0.000 0.000
0.000 0.000 0.500